Entry 1:
Material: Tb3ThC3
Method: DFT, PBE
State: relaxed

* energy of formation: -213 meV per atom
* energy above the most stable polymorph in this dataset: 0.000 eV/f.u.
* SG: I4_132, No. 214

Cell lengths 9.069, 9.069, 9.069 Å; angles 109.47, 109.47, 109.47 degrees
Sites, in units of the cell vectors:
Tb 0.011 0.022 0.761
Tb 0.011 0.489 0.250
Tb 0.022 0.761 0.011
Tb 0.250 0.011 0.489
Tb 0.250 0.739 0.761
Tb 0.478 0.489 0.739
Tb 0.489 0.250 0.011
Tb 0.489 0.739 0.478
Tb 0.739 0.478 0.489
Tb 0.739 0.761 0.250
Tb 0.761 0.011 0.022
Tb 0.761 0.250 0.739
Th 0.000 0.250 0.500
Th 0.250 0.250 0.250
Th 0.250 0.500 0.000
Th 0.500 0.000 0.250
C 0.247 0.750 0.253
C 0.247 0.997 0.994
C 0.253 0.247 0.750
C 0.253 0.506 0.503
C 0.503 0.253 0.506
C 0.503 0.750 0.997
C 0.506 0.503 0.253
C 0.750 0.253 0.247
C 0.750 0.997 0.503
C 0.994 0.247 0.997
C 0.997 0.503 0.750
C 0.997 0.994 0.247

***

Entry 2:
Material: Nb2Cu2Ru
Method: DFT, PBE
State: relaxed

* energy of formation: 308 meV per atom
* energy above the most stable polymorph in this dataset: 1.058 eV/f.u.
* SG: I4/mmm, No. 139

Cell lengths 8.275, 8.275, 8.275 Å; angles 158.08, 158.08, 31.19 degrees
Sites, in units of the cell vectors:
Nb 0.104 0.104 0.000
Nb 0.896 0.896 0.000
Cu 0.250 0.750 0.500
Cu 0.750 0.250 0.500
Ru 0.500 0.500 0.000

***

Entry 3:
Material: Cs3SiTe3
Method: DFT, PBE
State: relaxed

* energy above the most stable polymorph in this dataset: 0.000 eV/f.u.
* SG: Pnma, No. 62
* formation energy from raw total energies: -0.74 eV per atom

Cell lengths 15.567, 5.239, 16.305 Å; angles 90.00, 90.00, 90.00 degrees
Sites, in units of the cell vectors:
Cs 0.093 0.250 0.099
Cs 0.121 0.750 0.478
Cs 0.233 0.750 0.793
Cs 0.267 0.250 0.293
Cs 0.379 0.250 0.978
Cs 0.407 0.750 0.599
Cs 0.593 0.250 0.401
Cs 0.621 0.750 0.022
Cs 0.733 0.750 0.707
Cs 0.767 0.250 0.207
Cs 0.879 0.250 0.522
Cs 0.907 0.750 0.901
Si 0.056 0.250 0.706
Si 0.444 0.750 0.206
Si 0.556 0.250 0.794
Si 0.944 0.750 0.294
Te 0.009 0.250 0.324
Te 0.081 0.250 0.863
Te 0.202 0.250 0.628
Te 0.298 0.750 0.128
Te 0.419 0.750 0.363
Te 0.491 0.750 0.824
Te 0.509 0.250 0.176
Te 0.581 0.250 0.637
Te 0.702 0.250 0.872
Te 0.798 0.750 0.372
Te 0.919 0.750 0.137
Te 0.991 0.750 0.676